Entry from Alexandria: crystalline InRuAu2 at its relaxed geometry (GGA-PBEsol).

Structure (POSCAR):
```
InRuAu2
1.0
4.084 0.000 0.000
0.000 4.084 0.000
-2.042 -2.042 4.006
In Au Ru
1 2 1
Cartesian
2.042 2.042 0.000
0.000 2.042 2.003
2.042 0.000 2.003
0.000 0.000 0.000
```

Properties
- space group = No. 139
- DOS(E_F) (states/eV/atom) = 1.05
- theoretical density (g/cm³) = 15.16
- formation energy from the elements (meV/atom) = 203

=====

Entry from Alexandria: crystalline MgBeBr at its relaxed geometry (GGA-PBEsol).

Structure (POSCAR):
```
MgBeBr
1.0
-1.252 -4.360 1.111
-0.617 -3.181 -3.363
3.051 -3.502 -0.490
Br Mg Be
1 1 1
Cartesian
0.295 -2.761 -0.686
0.000 0.000 0.000
0.591 -5.522 -1.371
```

Properties
- space group = No. 216
- DOS(E_F) (states/eV/atom) = 0.57
- energy above the most stable polymorph in this dataset (meV per atom) = 700
- energy relative to the elements, uncorrected (eV/f.u.) = 2.35
- theoretical density (g/cm³) = 2.61

=====

Entry from Alexandria: crystalline LiCdPt2 at its relaxed geometry (GGA-PBEsol).

Structure (POSCAR):
```
LiCdPt2
1.0
-1.291 0.781 2.397
-4.174 -1.583 -1.733
2.172 -3.573 2.334
Pt Cd Li
2 1 1
Cartesian
1.086 -1.786 1.167
-2.087 -0.792 -0.866
-0.646 0.390 1.198
-1.646 -2.188 1.499
```

Properties
- space group = No. 65
- DOS(E_F) (states/eV/atom) = 0.37
- theoretical density (g/cm³) = 13.78
- formation energy from the elements (meV/atom) = -377